Density functional theory data (PBE with a Hubbard U) for a geometry-optimized RbVF3 structure.

Output
Calculated density = 3.57 g/cm³
E = -5.071 eV/atom

a = 4.926 Å, b = 4.926 Å, c = 14.818 Å
α = 90.00°, β = 90.00°, γ = 90.00°
Space group I-4m2 (No. 119)
One atom of each set of equivalent atoms:
Rb 0.000 0.000 0.110 [4 per cell]
V 0.000 0.000 0.500 [2 per cell]
V 0.000 0.500 0.250 [2 per cell]
F 0.000 0.244 0.354 [8 per cell]
F 0.000 0.500 0.522 [4 per cell]